Record 1
DFT (PBE) results for InCu2Br after structural relaxation.

Structure (CIF):
```
data_InCu2Br
_chemical_formula_sum 'In3 Cu6 Br3'
_cell_length_a 3.5078
_cell_length_b 3.5078
_cell_length_c 21.9628
_cell_angle_alpha 90.00
_cell_angle_beta 90.00
_cell_angle_gamma 120.00
_symmetry_space_group_name_H-M 'R -3 m'
_symmetry_Int_Tables_number 166
_symmetry_space_group_name_Hall '-R 3 2"'
loop_
_atom_site_label
_atom_site_fract_x
_atom_site_fract_y
_atom_site_fract_z
In1 0.0000 0.0000 0.0000
Cu1 0.0000 0.0000 0.2482
Br1 0.0000 0.0000 0.5000
```

Output
Raw total energy ... -3.05 eV/atom
Uncorrected formation energy ... 0.41 eV per formula unit
Total magnetization ... 0.000 Bohr magnetons per cell
Calculated density ... 6.8 Mg/m³

***

Record 2
DFT (PBE) results for Na4BO4 after structural relaxation.

Structure (CIF):
```
data_Na4BO4
_chemical_formula_sum 'Na8 B2 O8'
_cell_length_a 7.4016
_cell_length_b 7.4016
_cell_length_c 4.3328
_cell_angle_alpha 90.00
_cell_angle_beta 90.00
_cell_angle_gamma 90.00
_symmetry_space_group_name_H-M 'I 4/m'
_symmetry_Int_Tables_number 87
_symmetry_space_group_name_Hall '-I 4'
loop_
_atom_site_label
_atom_site_fract_x
_atom_site_fract_y
_atom_site_fract_z
Na1 0.1223 0.7064 0.0000
B1 0.0000 0.0000 0.5000
O1 0.0543 0.7946 0.5000
```

Output
Raw total energy ... -4.83 eV/atom
Uncorrected formation energy ... -11.70 eV per formula unit
Total magnetization ... 2.000 Bohr magnetons per cell
Calculated density ... 2.3 Mg/m³

***

Record 3
DFT (PBE) results for Mg2InSb after structural relaxation.

Structure (CIF):
```
data_Mg2InSb
_chemical_formula_sum 'Mg4 In2 Sb2'
_cell_length_a 6.7864
_cell_length_b 8.5111
_cell_length_c 3.3470
_cell_angle_alpha 90.00
_cell_angle_beta 93.93
_cell_angle_gamma 90.00
_symmetry_space_group_name_H-M 'C 1 2/m 1'
_symmetry_Int_Tables_number 12
loop_
_symmetry_equiv_pos_as_xyz
'x,y,z'
'-x,-y,-z'
'-x,y,-z'
'x,-y,z'
'x+1/2,y+1/2,z'
'-x+1/2,-y+1/2,-z'
'-x+1/2,y+1/2,-z'
'x+1/2,-y+1/2,z'
loop_
_atom_site_label
_atom_site_fract_x
_atom_site_fract_y
_atom_site_fract_z
Mg1 0.2500 0.2500 0.0000
In1 0.0000 0.0000 0.5000
Sb1 0.0000 0.5000 0.5000
```

Output
Raw total energy ... -2.63 eV/atom
Uncorrected formation energy ... -0.47 eV per formula unit
Total magnetization ... 0.000 Bohr magnetons per cell
Calculated density ... 4.9 Mg/m³

***

Record 4
DFT (PBE) results for CsRbNaSr after structural relaxation.

Structure (CIF):
```
data_CsRbNaSr
_chemical_formula_sum 'Cs4 Rb4 Na4 Sr4'
_cell_length_a 10.2974
_cell_length_b 10.2974
_cell_length_c 10.2974
_cell_angle_alpha 90.00
_cell_angle_beta 90.00
_cell_angle_gamma 90.00
_symmetry_space_group_name_H-M 'F -4 3 m'
_symmetry_Int_Tables_number 216
_symmetry_space_group_name_Hall 'F -4 2 3'
loop_
_atom_site_label
_atom_site_fract_x
_atom_site_fract_y
_atom_site_fract_z
Cs1 0.0000 0.0000 0.0000
Rb1 0.2500 0.2500 0.2500
Na1 0.2500 0.2500 0.7500
Sr1 0.0000 0.0000 0.5000
```

Output
Formation enthalpy at 0 K ... 0.129 eV/atom
Raw total energy ... -1.08 eV/atom
Total magnetization ... 0.000 Bohr magnetons per cell
Calculated density ... 2.0 Mg/m³

***

Record 5
DFT (PBE) results for K3Au2Cl after structural relaxation.

Structure (CIF):
```
data_K3Au2Cl
_chemical_formula_sum 'K6 Au4 Cl2'
_cell_length_a 4.8802
_cell_length_b 4.8802
_cell_length_c 19.3947
_cell_angle_alpha 90.00
_cell_angle_beta 90.00
_cell_angle_gamma 90.00
_symmetry_space_group_name_H-M 'I 4/m m m'
_symmetry_Int_Tables_number 139
_symmetry_space_group_name_Hall '-I 4 2'
loop_
_atom_site_label
_atom_site_fract_x
_atom_site_fract_y
_atom_site_fract_z
K1 0.0000 0.0000 0.0000
K2 0.0000 0.0000 0.3403
Au1 0.0000 0.0000 0.1693
Cl1 0.0000 0.0000 0.5000
```

Output
Raw total energy ... -2.72 eV/atom
Uncorrected formation energy ... -4.65 eV per formula unit
Total magnetization ... 0.000 Bohr magnetons per cell
Calculated density ... 3.9 Mg/m³

***

Record 6
DFT (PBE) results for CsLi2Au after structural relaxation.

Structure (CIF):
```
data_CsLi2Au
_chemical_formula_sum 'Cs4 Li8 Au4'
_cell_length_a 5.8102
_cell_length_b 5.8102
_cell_length_c 17.3470
_cell_angle_alpha 90.00
_cell_angle_beta 90.00
_cell_angle_gamma 90.00
_symmetry_space_group_name_H-M 'I -4 2 d'
_symmetry_Int_Tables_number 122
_symmetry_space_group_name_Hall 'I -4 2bw'
loop_
_atom_site_label
_atom_site_fract_x
_atom_site_fract_y
_atom_site_fract_z
Cs1 0.0000 0.0000 0.0000
Li1 0.0011 0.7500 0.6250
Au1 0.0000 0.0000 0.5000
```

Output
Formation enthalpy at 0 K ... -0.099 eV/atom
Raw total energy ... -2.09 eV/atom
Total magnetization ... 0.000 Bohr magnetons per cell
Calculated density ... 3.9 Mg/m³

***

Record 7
DFT (PBE) results for InTe2Cl after structural relaxation.

Structure (CIF):
```
data_InTe2Cl
_chemical_formula_sum 'In1 Te2 Cl1'
_cell_length_a 3.1973
_cell_length_b 6.4366
_cell_length_c 5.8428
_cell_angle_alpha 90.00
_cell_angle_beta 102.68
_cell_angle_gamma 90.00
_symmetry_space_group_name_H-M 'P 1 2/m 1'
_symmetry_Int_Tables_number 10
loop_
_symmetry_equiv_pos_as_xyz
'x,y,z'
'-x,-y,-z'
'-x,y,-z'
'x,-y,z'
loop_
_atom_site_label
_atom_site_fract_x
_atom_site_fract_y
_atom_site_fract_z
In1 0.0000 0.0000 0.0000
Te1 0.3848 0.5000 0.2549
Cl1 0.0000 0.0000 0.5000
```

Output
Raw total energy ... -2.85 eV/atom
Uncorrected formation energy ... -0.54 eV per formula unit
Total magnetization ... 0.000 Bohr magnetons per cell
Calculated density ... 5.7 Mg/m³

***

Record 8
DFT (PBE) results for AlCu3S after structural relaxation.

Structure (CIF):
```
data_AlCu3S
_chemical_formula_sum 'Al1 Cu3 S1'
_cell_length_a 4.5185
_cell_length_b 4.5185
_cell_length_c 4.5185
_cell_angle_alpha 90.00
_cell_angle_beta 90.00
_cell_angle_gamma 90.00
_symmetry_space_group_name_H-M 'P m -3 m'
_symmetry_Int_Tables_number 221
_symmetry_space_group_name_Hall '-P 4 2 3'
loop_
_atom_site_label
_atom_site_fract_x
_atom_site_fract_y
_atom_site_fract_z
Al1 0.0000 0.0000 0.0000
Cu1 0.0000 0.0000 0.5000
S1 0.5000 0.5000 0.5000
```

Output
Raw total energy ... -3.14 eV/atom
Uncorrected formation energy ... 4.45 eV per formula unit
Total magnetization ... 0.000 Bohr magnetons per cell
Calculated density ... 4.5 Mg/m³

***

Record 9
DFT (PBE) results for KSnB after structural relaxation.

Structure (CIF):
```
data_KSnB
_chemical_formula_sum 'K4 Sn4 B4'
_cell_length_a 11.7829
_cell_length_b 3.8597
_cell_length_c 9.0766
_cell_angle_alpha 90.00
_cell_angle_beta 129.72
_cell_angle_gamma 90.00
_symmetry_space_group_name_H-M 'C 1 m 1'
_symmetry_Int_Tables_number 8
loop_
_symmetry_equiv_pos_as_xyz
'x,y,z'
'x,-y,z'
'x+1/2,y+1/2,z'
'x+1/2,-y+1/2,z'
loop_
_atom_site_label
_atom_site_fract_x
_atom_site_fract_y
_atom_site_fract_z
K1 0.0000 0.0000 0.0000
K2 0.1036 0.0000 0.6887
Sn1 0.2264 0.5000 0.4778
Sn2 0.3945 0.0000 0.2241
B1 0.2598 0.5000 0.0826
B2 0.2610 0.5000 0.2583
```

Output
Formation enthalpy at 0 K ... 0.307 eV/atom
Raw total energy ... -3.62 eV/atom
Total magnetization ... 0.000 Bohr magnetons per cell
Calculated density ... 3.5 Mg/m³

***

Record 10
DFT (PBE) results for AlZn2H2 after structural relaxation.

Structure (CIF):
```
data_AlZn2H2
_chemical_formula_sum 'Al2 Zn4 H4'
_cell_length_a 6.5807
_cell_length_b 6.5807
_cell_length_c 2.5921
_cell_angle_alpha 90.00
_cell_angle_beta 90.00
_cell_angle_gamma 90.00
_symmetry_space_group_name_H-M 'P 4/m b m'
_symmetry_Int_Tables_number 127
_symmetry_space_group_name_Hall '-P 4 2ab'
loop_
_atom_site_label
_atom_site_fract_x
_atom_site_fract_y
_atom_site_fract_z
Al1 0.0000 0.0000 0.0000
Zn1 0.1431 0.3569 0.5000
H1 0.1217 0.6217 0.0000
```

Output
Raw total energy ... -2.12 eV/atom
Total magnetization ... 0.000 Bohr magnetons per cell
Calculated density ... 4.7 Mg/m³

***

Record 11
DFT (PBE) results for LiIrOs after structural relaxation.

Structure (CIF):
```
data_LiIrOs
_chemical_formula_sum 'Li4 Ir4 Os4'
_cell_length_a 6.9949
_cell_length_b 4.0806
_cell_length_c 7.1207
_cell_angle_alpha 90.00
_cell_angle_beta 90.00
_cell_angle_gamma 90.00
_symmetry_space_group_name_H-M 'P n m a'
_symmetry_Int_Tables_number 62
loop_
_symmetry_equiv_pos_as_xyz
'x,y,z'
'-x,-y,-z'
'-x+1/2,-y,z+1/2'
'x+1/2,y,-z+1/2'
'x+1/2,-y+1/2,-z+1/2'
'-x+1/2,y+1/2,z+1/2'
'-x,y+1/2,-z'
'x,-y+1/2,z'
loop_
_atom_site_label
_atom_site_fract_x
_atom_site_fract_y
_atom_site_fract_z
Li1 0.0059 0.2500 0.1658
Ir1 0.1770 0.7500 0.4005
Os1 0.1688 0.2500 0.5950
```

Output
Formation enthalpy at 0 K ... 0.209 eV/atom
Raw total energy ... -7.13 eV/atom
Total magnetization ... 0.000 Bohr magnetons per cell
Calculated density ... 12.7 Mg/m³

***

Record 12
DFT (PBE) results for Er3InPb2 after structural relaxation.

Structure (CIF):
```
data_Er3InPb2
_chemical_formula_sum 'Er6 In2 Pb4'
_cell_length_a 4.5061
_cell_length_b 4.5071
_cell_length_c 16.5028
_cell_angle_alpha 90.00
_cell_angle_beta 90.00
_cell_angle_gamma 90.00
_symmetry_space_group_name_H-M 'I m m m'
_symmetry_Int_Tables_number 71
_symmetry_space_group_name_Hall '-I 2 2'
loop_
_atom_site_label
_atom_site_fract_x
_atom_site_fract_y
_atom_site_fract_z
Er1 0.0000 0.0000 0.0000
Er2 0.0000 0.5000 0.3320
In1 0.0000 0.0000 0.5000
Pb1 0.0000 0.5000 0.1438
```

Output
Formation enthalpy at 0 K ... -0.442 eV/atom
Raw total energy ... -4.42 eV/atom
Total magnetization ... 0.000 Bohr magnetons per cell
Calculated density ... 10.2 Mg/m³

***

Record 13
DFT (PBE) results for NaScInAg after structural relaxation.

Structure (CIF):
```
data_NaScInAg
_chemical_formula_sum 'Na4 Sc4 In4 Ag4'
_cell_length_a 7.0698
_cell_length_b 7.0698
_cell_length_c 7.0698
_cell_angle_alpha 90.00
_cell_angle_beta 90.00
_cell_angle_gamma 90.00
_symmetry_space_group_name_H-M 'F -4 3 m'
_symmetry_Int_Tables_number 216
_symmetry_space_group_name_Hall 'F -4 2 3'
loop_
_atom_site_label
_atom_site_fract_x
_atom_site_fract_y
_atom_site_fract_z
Na1 0.0000 0.0000 0.0000
Sc1 0.0000 0.0000 0.5000
In1 0.2500 0.2500 0.2500
Ag1 0.2500 0.2500 0.7500
```

Output
Formation enthalpy at 0 K ... -0.112 eV/atom
Raw total energy ... -3.42 eV/atom
Total magnetization ... 0.000 Bohr magnetons per cell
Calculated density ... 5.5 Mg/m³

***

Record 14
DFT (PBE) results for TbY4In2 after structural relaxation.

Structure (CIF):
```
data_TbY4In2
_chemical_formula_sum 'Tb2 Y8 In4'
_cell_length_a 9.0946
_cell_length_b 9.0946
_cell_length_c 5.3259
_cell_angle_alpha 90.00
_cell_angle_beta 90.00
_cell_angle_gamma 90.00
_symmetry_space_group_name_H-M 'P 42/m n m'
_symmetry_Int_Tables_number 136
_symmetry_space_group_name_Hall '-P 4n 2n'
loop_
_atom_site_label
_atom_site_fract_x
_atom_site_fract_y
_atom_site_fract_z
Tb1 0.0000 0.0000 0.0000
Y1 0.0757 0.3306 0.5000
In1 0.2458 0.2458 0.0000
```

Output
Formation enthalpy at 0 K ... -0.146 eV/atom
Raw total energy ... -5.28 eV/atom
Total magnetization ... 0.001 Bohr magnetons per cell
Calculated density ... 5.6 Mg/m³

***

Record 15
DFT (PBE) results for KLi2PuF8 after structural relaxation.

Structure (CIF):
```
data_KLi2PuF8
_chemical_formula_sum 'K1 Li2 Pu1 F8'
_cell_length_a 5.6679
_cell_length_b 5.6679
_cell_length_c 7.8084
_cell_angle_alpha 90.00
_cell_angle_beta 90.00
_cell_angle_gamma 120.00
_symmetry_space_group_name_H-M 'P -3 m 1'
_symmetry_Int_Tables_number 164
_symmetry_space_group_name_Hall '-P 3 2"'
loop_
_atom_site_label
_atom_site_fract_x
_atom_site_fract_y
_atom_site_fract_z
K1 0.0000 0.0000 0.0000
Li1 0.3333 0.6667 0.2021
Pu1 0.0000 0.0000 0.5000
F1 0.1662 0.3324 0.3325
F2 0.3333 0.6667 0.9749
```

Output
Raw total energy ... -5.76 eV/atom
Uncorrected formation energy ... -34.93 eV per formula unit
Total magnetization ... 3.705 Bohr magnetons per cell
Calculated density ... 3.4 Mg/m³

***

Record 16
DFT (PBE) results for Mn2CrSeCl after structural relaxation.

Structure (CIF):
```
data_Mn2CrSeCl
_chemical_formula_sum 'Mn2 Cr1 Se1 Cl1'
_cell_length_a 4.7000
_cell_length_b 4.7000
_cell_length_c 4.9721
_cell_angle_alpha 90.00
_cell_angle_beta 90.00
_cell_angle_gamma 90.00
_symmetry_space_group_name_H-M 'P 4/m m m'
_symmetry_Int_Tables_number 123
_symmetry_space_group_name_Hall '-P 4 2'
loop_
_atom_site_label
_atom_site_fract_x
_atom_site_fract_y
_atom_site_fract_z
Mn1 0.0000 0.5000 0.0000
Cr1 0.0000 0.0000 0.5000
Se1 0.0000 0.0000 0.0000
Cl1 0.5000 0.5000 0.5000
```

Output
Raw total energy ... -6.22 eV/atom
Uncorrected formation energy ... 2.20 eV per formula unit
Total magnetization ... 3.043 Bohr magnetons per cell
Calculated density ... 4.2 Mg/m³

***

Record 17
DFT (PBE) results for Nb2SnH2 after structural relaxation.

Structure (CIF):
```
data_Nb2SnH2
_chemical_formula_sum 'Nb2 Sn1 H2'
_cell_length_a 3.9573
_cell_length_b 3.9179
_cell_length_c 5.3930
_cell_angle_alpha 90.00
_cell_angle_beta 111.10
_cell_angle_gamma 90.00
_symmetry_space_group_name_H-M 'P 1 m 1'
_symmetry_Int_Tables_number 6
loop_
_symmetry_equiv_pos_as_xyz
'x,y,z'
'x,-y,z'
loop_
_atom_site_label
_atom_site_fract_x
_atom_site_fract_y
_atom_site_fract_z
Nb1 0.0000 0.0000 0.0000
Nb2 0.4920 0.5000 0.9826
Sn1 0.7764 0.5000 0.5456
H1 0.0579 0.5000 0.1154
H2 0.4546 0.0000 0.9070
```

Output
Raw total energy ... -6.02 eV/atom
Total magnetization ... 0.000 Bohr magnetons per cell
Calculated density ... 6.5 Mg/m³

***

Record 18
DFT (PBE) results for LaNdHgPb after structural relaxation.

Structure (CIF):
```
data_LaNdHgPb
_chemical_formula_sum 'La4 Nd4 Hg4 Pb4'
_cell_length_a 7.8483
_cell_length_b 7.8483
_cell_length_c 7.8483
_cell_angle_alpha 90.00
_cell_angle_beta 90.00
_cell_angle_gamma 90.00
_symmetry_space_group_name_H-M 'F -4 3 m'
_symmetry_Int_Tables_number 216
_symmetry_space_group_name_Hall 'F -4 2 3'
loop_
_atom_site_label
_atom_site_fract_x
_atom_site_fract_y
_atom_site_fract_z
La1 0.0000 0.0000 0.0000
Nd1 0.0000 0.0000 0.5000
Hg1 0.2500 0.2500 0.2500
Pb1 0.2500 0.2500 0.7500
```

Output
Formation enthalpy at 0 K ... -0.530 eV/atom
Raw total energy ... -3.96 eV/atom
Total magnetization ... 0.001 Bohr magnetons per cell
Calculated density ... 9.5 Mg/m³

***

Record 19
DFT (PBE) results for MgAsC3 after structural relaxation.

Structure (CIF):
```
data_MgAsC3
_chemical_formula_sum 'Mg1 As1 C3'
_cell_length_a 3.9526
_cell_length_b 3.9526
_cell_length_c 3.9526
_cell_angle_alpha 90.00
_cell_angle_beta 90.00
_cell_angle_gamma 90.00
_symmetry_space_group_name_H-M 'P m -3 m'
_symmetry_Int_Tables_number 221
_symmetry_space_group_name_Hall '-P 4 2 3'
loop_
_atom_site_label
_atom_site_fract_x
_atom_site_fract_y
_atom_site_fract_z
Mg1 0.0000 0.0000 0.0000
As1 0.5000 0.5000 0.5000
C1 0.0000 0.5000 0.5000
```

Output
Formation enthalpy at 0 K ... 2.287 eV/atom
Raw total energy ... -4.50 eV/atom
Total magnetization ... 0.000 Bohr magnetons per cell
Calculated density ... 3.6 Mg/m³

***

Record 20
DFT (PBE) results for DyTcBrO4 after structural relaxation.

Structure (CIF):
```
data_DyTcBrO4
_chemical_formula_sum 'Dy4 Tc4 Br4 O16'
_cell_length_a 10.5871
_cell_length_b 7.1202
_cell_length_c 6.9279
_cell_angle_alpha 90.00
_cell_angle_beta 104.62
_cell_angle_gamma 90.00
_symmetry_space_group_name_H-M 'C 1 2/m 1'
_symmetry_Int_Tables_number 12
loop_
_symmetry_equiv_pos_as_xyz
'x,y,z'
'-x,-y,-z'
'-x,y,-z'
'x,-y,z'
'x+1/2,y+1/2,z'
'-x+1/2,-y+1/2,-z'
'-x+1/2,y+1/2,-z'
'x+1/2,-y+1/2,z'
loop_
_atom_site_label
_atom_site_fract_x
_atom_site_fract_y
_atom_site_fract_z
Dy1 0.2268 0.0000 0.1045
Tc1 0.1323 0.5000 0.2799
Br1 0.0107 0.0000 0.7548
O1 0.0383 0.5000 0.7893
O2 0.1978 0.3175 0.1436
O3 0.2108 0.5000 0.5341
```

Output
Raw total energy ... -7.20 eV/atom
Uncorrected formation energy ... -13.90 eV per formula unit
Total magnetization ... 4.022 Bohr magnetons per cell
Calculated density ... 5.3 Mg/m³